Here is a relaxed structure of LaTcTe2 from Alexandria via LeMat-Bulk. Energies are from PBE.

Calculated values
* E_form (uncorrected): -0.744 eV/atom
* density: 6.574 g cm⁻³
* total DFT energy (no corrections): -49.11 eV for the cell shown
* polymorph energy (0 for the lowest one): 0.20 eV/f.u.

Lattice parameters (Å, degrees): 4.484 9.123 6.187 90.00 100.84 90.00
Space group Pm (No. 6)
Unique sites:
La  0.000  0.249  0.000 x2
Tc  0.062  0.000  0.513 x1
Tc  0.440  0.000  0.321 x1
Te  0.458  0.500  0.915 x1
Te  0.465  0.000  0.883 x1
Te  0.748  0.250  0.451 x2

---

Here is a relaxed structure of CeErHg2 from Alexandria via LeMat-Bulk. Energies are from PBE.

Calculated values
* density: 11.014 g cm⁻³
* energy relative to the elements: -1.5 eV per formula unit
* total DFT energy (no corrections): -50.30 eV for the cell shown
* polymorph energy (0 for the lowest one): 0.08 eV/f.u.

Lattice parameters (Å, degrees): 7.532 7.532 7.532 90.00 90.00 90.00
Space group Fm-3m (No. 225)
Unique sites:
Ce  0.000  0.000  0.000 x4
Er  0.000  0.000  0.500 x4
Hg  0.250  0.250  0.250 x8

---

Here is a relaxed structure of SiSeBr from Alexandria via LeMat-Bulk. Energies are from PBE.

Calculated values
* E_form (uncorrected): -0.291 eV/atom
* density: 3.606 g cm⁻³
* total DFT energy (no corrections): -11.45 eV for the cell shown
* polymorph energy (0 for the lowest one): 0.73 eV/f.u.

Lattice parameters (Å, degrees): 3.535 3.535 6.892 90.00 90.70 90.00
Space group Pm (No. 6)
Unique sites:
Si  0.000  0.000  0.000 x1
Se  0.497  0.500  0.898 x1
Br  0.008  0.000  0.324 x1

---

Here is a relaxed structure of BeFeCo from Alexandria via LeMat-Bulk. Energies are from PBE.

Calculated values
* density: 6.786 g cm⁻³
* energy relative to the elements: -0.3 eV per formula unit
* total DFT energy (no corrections): -19.57 eV for the cell shown
* polymorph energy (0 for the lowest one): 0.14 eV/f.u.

Lattice parameters (Å, degrees): 3.8099 3.8099 2.4096 90.00 90.00 120.00
Space group P3m1 (No. 156)
Unique sites:
Be  0.0000  0.0000  0.0000 x1
Fe  0.3333  0.6667  0.6383 x1
Co  0.6667  0.3333  0.2989 x1

---

Here is a relaxed structure of Be6CoIr5 from Alexandria via LeMat-Bulk. Energies are from PBE.

Calculated values
* density: 13.824 g cm⁻³
* energy relative to the elements: -6.2 eV per formula unit
* total DFT energy (no corrections): -159.97 eV for the cell shown

Lattice parameters (Å, degrees): 3.918 5.583 11.797 90.00 90.00 90.00
Space group Immm (No. 71)
Unique sites:
Be  0.000  0.242  0.000 x4
Be  0.000  0.253  0.332 x8
Co  0.000  0.000  0.500 x2
Ir  0.000  0.000  0.169 x4
Ir  0.000  0.500  0.158 x4
Ir  0.000  0.500  0.500 x2

---

Here is a relaxed structure of SrMg2TlPt from Alexandria via LeMat-Bulk. Energies are from PBE.

Calculated values
* density: 5.874 g cm⁻³
* energy relative to the elements: -1.9 eV per formula unit
* total DFT energy (no corrections): -15.13 eV for the cell shown
* polymorph energy (0 for the lowest one): 0.00 eV/f.u.

Lattice parameters (Å, degrees): 5.124 5.124 5.768 90.00 90.00 90.00
Space group P4/mmm (No. 123)
Unique sites:
Sr  0.000  0.000  0.000 x1
Mg  0.000  0.500  0.500 x2
Tl  0.500  0.500  0.000 x1
Pt  0.000  0.000  0.500 x1

---

Here is a relaxed structure of Ag2IrBr5 from Alexandria via LeMat-Bulk. Energies are from PBE.

Calculated values
* E_form (uncorrected): -0.181 eV/atom
* density: 5.538 g cm⁻³
* total DFT energy (no corrections): -48.75 eV for the cell shown

Lattice parameters (Å, degrees): 10.984 9.540 5.192 90.00 117.13 90.00
Space group Cm (No. 8)
Unique sites:
Ag  0.000  0.228  0.000 x4
Ir  0.229  0.000  0.561 x2
Br  0.190  0.000  0.018 x2
Br  0.231  0.262  0.559 x4
Br  0.470  0.500  0.303 x2
Br  0.483  0.000  0.811 x2

---

Here is a relaxed structure of Pm8Ir3OsCl4 from Alexandria via LeMat-Bulk. Energies are from PBE.

Calculated values
* E_form (uncorrected): -1.092 eV/atom
* density: 7.874 g cm⁻³
* total DFT energy (no corrections): -302.03 eV for the cell shown

Lattice parameters (Å, degrees): 8.1828 8.1828 22.5722 90.00 90.00 120.00
Space group R-3m (No. 166, hexagonal axes)
Unique sites:
Pm  0.0000  0.0000  0.2338 x6
Pm  0.0041  0.5021  0.2348 x18
Ir  0.0000  0.5000  0.5000 x9
Os  0.0000  0.0000  0.5000 x3
Cl  0.0000  0.0000  0.0000 x3
Cl  0.0000  0.5000  0.0000 x9

---

Here is a relaxed structure of Pr2NpAgSe5 from Alexandria via LeMat-Bulk. Energies are from PBE.

Calculated values
* E_form (uncorrected): -1.338 eV/atom
* density: 7.305 g cm⁻³
* total DFT energy (no corrections): -219.27 eV for the cell shown

Lattice parameters (Å, degrees): 4.184 17.569 12.636 90.00 90.00 90.00
Space group Cmc2_1 (No. 36)
Unique sites:
Pr  0.000  0.112  0.000 x4
Pr  0.000  0.126  0.620 x4
Np  0.000  0.197  0.322 x4
Ag  0.000  0.449  0.772 x4
Se  0.000  0.046  0.391 x4
Se  0.000  0.289  0.980 x4
Se  0.000  0.306  0.659 x4
Se  0.000  0.362  0.315 x4
Se  0.000  0.497  0.083 x4

---

Here is a relaxed structure of LiGaC from Alexandria via LeMat-Bulk. Energies are from PBE.

Calculated values
* density: 3.231 g cm⁻³
* energy relative to the elements: 1.4 eV per formula unit
* total DFT energy (no corrections): -101.98 eV for the cell shown

Lattice parameters (Å, degrees): 9.174 9.174 4.333 90.00 90.00 90.00
Space group I4/mmm (No. 139)
Unique sites:
Li  0.000  0.361  0.000 x8
Ga  0.154  0.154  0.500 x8
C  0.000  0.291  0.500 x8

---

Here is a relaxed structure of InTe2Pt from Alexandria via LeMat-Bulk. Energies are from PBE.

Calculated values
* E_form (uncorrected): -0.018 eV/atom
* density: 9.212 g cm⁻³
* total DFT energy (no corrections): -30.27 eV for the cell shown

Lattice parameters (Å, degrees): 3.709 4.335 12.672 90.00 90.00 90.00
Space group Imm2 (No. 44)
Unique sites:
In  0.000  0.000  0.000 x2
Te  0.000  0.000  0.375 x2
Te  0.000  0.500  0.175 x2
Pt  0.000  0.500  0.706 x2

---

Here is a relaxed structure of Ba2PAu from Alexandria via LeMat-Bulk. Energies are from PBE.

Calculated values
* density: 5.526 g cm⁻³
* energy relative to the elements: -3.5 eV per formula unit
* total DFT energy (no corrections): -48.01 eV for the cell shown

Lattice parameters (Å, degrees): 4.6541 4.6541 24.1529 90.00 90.00 120.00
Space group R3m (No. 160, hexagonal axes)
Unique sites:
Ba  0.0000  0.0000  0.0000 x3
Ba  0.0000  0.0000  0.1907 x3
P  0.0000  0.0000  0.5959 x3
Au  0.0000  0.0000  0.7610 x3

---

Here is a relaxed structure of LiTm3Cd12 from Alexandria via LeMat-Bulk. Energies are from PBE.

Calculated values
* density: 8.456 g cm⁻³
* energy relative to the elements: -3.4 eV per formula unit
* total DFT energy (no corrections): -29.70 eV for the cell shown

Lattice parameters (Å, degrees): 4.504 4.504 18.031 90.00 90.00 90.00
Space group P4/mmm (No. 123)
Unique sites:
Li  0.000  0.000  0.000 x1
Tm  0.000  0.000  0.240 x2
Tm  0.000  0.000  0.500 x1
Cd  0.000  0.500  0.114 x4
Cd  0.000  0.500  0.371 x4
Cd  0.500  0.500  0.000 x1
Cd  0.500  0.500  0.238 x2
Cd  0.500  0.500  0.500 x1

---

Here is a relaxed structure of KGa2Cu2 from Alexandria via LeMat-Bulk. Energies are from PBE.

Calculated values
* density: 5.001 g cm⁻³
* energy relative to the elements: 0.4 eV per formula unit
* total DFT energy (no corrections): -29.98 eV for the cell shown
* polymorph energy (0 for the lowest one): 0.28 eV/f.u.

Lattice parameters (Å, degrees): 4.386 4.386 10.549 90.00 90.00 90.00
Space group I4/mmm (No. 139)
Unique sites:
K  0.000  0.000  0.000 x2
Ga  0.000  0.500  0.250 x4
Cu  0.000  0.000  0.376 x4

---

Here is a relaxed structure of Tb2Sm3YTe6 from Alexandria via LeMat-Bulk. Energies are from PBE.

Calculated values
* E_form (uncorrected): -1.348 eV/atom
* density: 7.421 g cm⁻³
* total DFT energy (no corrections): -129.82 eV for the cell shown

Lattice parameters (Å, degrees): 19.233 4.383 8.870 90.00 103.66 90.00
Space group C2/m (No. 12)
Unique sites:
Tb  0.167  0.000  0.334 x4
Sm  0.000  0.500  0.500 x2
Sm  0.167  0.000  0.833 x4
Y  0.000  0.500  0.000 x2
Te  0.001  0.000  0.246 x4
Te  0.165  0.500  0.086 x4
Te  0.168  0.500  0.580 x4

---

Here is a relaxed structure of Li2HfAgS from Alexandria via LeMat-Bulk. Energies are from PBE.

Calculated values
* E_form (uncorrected): 0.457 eV/atom
* density: 3.551 g cm⁻³
* total DFT energy (no corrections): -18.47 eV for the cell shown

Lattice parameters (Å, degrees): 5.733 5.733 4.729 90.00 90.00 90.00
Space group P4/mmm (No. 123)
Unique sites:
Li  0.000  0.500  0.000 x2
Hf  0.000  0.000  0.000 x1
Ag  0.500  0.500  0.500 x1
S  0.000  0.000  0.500 x1

---

Here is a relaxed structure of Sm2CoSi5 from Alexandria via LeMat-Bulk. Energies are from PBE.

Calculated values
* E_form (uncorrected): -0.463 eV/atom
* density: 5.621 g cm⁻³
* total DFT energy (no corrections): -94.73 eV for the cell shown

Lattice parameters (Å, degrees): 5.741 5.741 8.963 90.00 90.00 90.00
Space group I4mm (No. 107)
Unique sites:
Sm  0.000  0.500  0.000 x4
Co  0.000  0.000  0.307 x2
Si  0.000  0.000  0.560 x2
Si  0.218  0.218  0.759 x8

---

Here is a relaxed structure of MnRh2Br from Alexandria via LeMat-Bulk. Energies are from PBE.

Calculated values
* E_form (uncorrected): 0.395 eV/atom
* density: 8.905 g cm⁻³
* total DFT energy (no corrections): -47.93 eV for the cell shown
* polymorph energy (0 for the lowest one): 0.68 eV/f.u.

Lattice parameters (Å, degrees): 2.980 4.801 8.880 90.00 90.00 90.00
Space group Immm (No. 71)
Unique sites:
Mn  0.000  0.000  0.000 x2
Rh  0.000  0.500  0.252 x4
Br  0.000  0.000  0.500 x2

---

Here is a relaxed structure of Pm3Tm2Mg from Alexandria via LeMat-Bulk. Energies are from PBE.

Calculated values
* density: 7.076 g cm⁻³
* energy relative to the elements: -0.1 eV per formula unit
* total DFT energy (no corrections): -24.87 eV for the cell shown

Lattice parameters (Å, degrees): 3.612 3.612 14.342 90.00 90.00 90.00
Space group P4/mmm (No. 123)
Unique sites:
Pm  0.000  0.000  0.000 x1
Pm  0.000  0.000  0.345 x2
Tm  0.500  0.500  0.173 x2
Mg  0.500  0.500  0.500 x1

---

Here is a relaxed structure of BaMg12Pb6 from Alexandria via LeMat-Bulk. Energies are from PBE.

Calculated values
* density: 5.158 g cm⁻³
* energy relative to the elements: -0.7 eV per formula unit
* total DFT energy (no corrections): -131.97 eV for the cell shown

Lattice parameters (Å, degrees): 13.8411 13.8411 9.7342 90.00 90.00 120.00
Space group R-3m (No. 166, hexagonal axes)
Unique sites:
Ba  0.0000  0.0000  0.0000 x3
Mg  0.0000  0.3913  0.5000 x18
Mg  0.0773  0.1546  0.3427 x18
Pb  0.0087  0.5044  0.2338 x18

---

Here is a relaxed structure of TeMo2Br from Alexandria via LeMat-Bulk. Energies are from PBE.

Calculated values
* E_form (uncorrected): 1.064 eV/atom
* density: 8.436 g cm⁻³
* total DFT energy (no corrections): -88.89 eV for the cell shown
* polymorph energy (0 for the lowest one): 3.57 eV/f.u.

Lattice parameters (Å, degrees): 6.800 6.800 6.800 90.00 90.00 90.00
Space group F-43m (No. 216)
Unique sites:
Te  0.000  0.000  0.000 x4
Mo  0.000  0.000  0.500 x4
Mo  0.250  0.250  0.250 x4
Br  0.250  0.250  0.750 x4

---

Here is a relaxed structure of CePmCu4 from Alexandria via LeMat-Bulk. Energies are from PBE.

Calculated values
* density: 8.453 g cm⁻³
* energy relative to the elements: -0.5 eV per formula unit
* total DFT energy (no corrections): -110.08 eV for the cell shown
* polymorph energy (0 for the lowest one): 0.42 eV/f.u.

Lattice parameters (Å, degrees): 7.511 7.511 7.511 90.00 90.00 90.00
Space group F-43m (No. 216)
Unique sites:
Ce  0.000  0.000  0.000 x4
Pm  0.250  0.250  0.250 x4
Cu  0.125  0.125  0.625 x16

---

Here is a relaxed structure of LiTcS2 from Alexandria via LeMat-Bulk. Energies are from PBE.

Calculated values
* E_form (uncorrected): -0.573 eV/atom
* density: 3.478 g cm⁻³
* total DFT energy (no corrections): -91.30 eV for the cell shown
* polymorph energy (0 for the lowest one): 0.00 eV/f.u.

Lattice parameters (Å, degrees): 5.448 5.448 10.879 90.00 90.00 90.00
Space group I-42d (No. 122)
Unique sites:
Li  0.000  0.000  0.000 x4
Tc  0.000  0.000  0.500 x4
S  0.216  0.250  0.625 x8

---

Here is a relaxed structure of Li2ZrCl2 from Alexandria via LeMat-Bulk. Energies are from PBE.

Calculated values
* E_form (uncorrected): -0.389 eV/atom
* density: 2.864 g cm⁻³
* total DFT energy (no corrections): -36.03 eV for the cell shown
* polymorph energy (0 for the lowest one): 0.19 eV/f.u.

Lattice parameters (Å, degrees): 7.982 7.982 3.204 90.00 90.00 90.00
Space group P4/mbm (No. 127)
Unique sites:
Li  0.119  0.381  0.000 x4
Zr  0.000  0.000  0.000 x2
Cl  0.146  0.646  0.500 x4